Entry from the Alexandria database: Be2PPdO after structural relaxation (PBE).

a = 3.3739 Å, b = 5.3276 Å, c = 3.3739 Å
α = 90.00°, β = 90.00°, γ = 90.00°
Closest atoms and distances in Å follow each position.
Element x y z (fractional)
1 Pd 0.0000 0.5000 0.0000  4 P 2.39, 2 O 2.66
2 Be 0.5000 0.0000 0.0000  2 O 1.69
3 Be 0.0000 0.0000 0.5000  2 O 1.69
4 O 0.0000 0.0000 0.0000  4 Be 1.69
5 P 0.5000 0.5000 0.5000  4 Pd 2.39

Total magnetic moment ... 0.0 μB per formula unit
E ... -5.02 eV/atom
Crystal system ... tetragonal
Formation energy from raw total energies ... -419 meV/atom